Pu3ZnCo8 after structural relaxation. Source: Alexandria via LeMat-Bulk, functional GGA-PBE.

```
data_Pu3ZnCo8
_symmetry_space_group_name_H-M 'P 1'
_symmetry_Int_Tables_number 1
_cell_length_a 4.9435
_cell_length_b 4.9435
_cell_length_c 8.5783
_cell_angle_alpha 73.25
_cell_angle_beta 73.25
_cell_angle_gamma 60.00
loop_
_symmetry_equiv_pos_as_xyz
'x,y,z'
loop_
_atom_site_label
_atom_site_type_symbol
_atom_site_fract_x
_atom_site_fract_y
_atom_site_fract_z
Co1 Co 0.1878 0.1878 0.4365
Pu1 Pu 0.5032 0.5032 0.4905
Co2 Co 0.9377 0.9377 0.6809
Co3 Co 0.4359 0.4359 0.1937
Co4 Co 0.9377 0.4436 0.6809
Pu2 Pu 0.3761 0.3761 0.8716
Co5 Co 0.4436 0.9377 0.6809
Pu3 Pu 0.9965 0.9965 0.0105
Co6 Co 0.6878 0.6878 0.9367
Co7 Co 0.4359 0.9345 0.1937
Zn1 Zn 0.8732 0.8732 0.3803
Co8 Co 0.9345 0.4359 0.1937
```

## Properties
The calculation puts the total magnetic moment at 6.5 μB/f.u. Its raw total energy is -8.559 eV/atom. The crystal system is trigonal.



NaZr3Te after structural relaxation. Source: Alexandria via LeMat-Bulk, functional GGA-PBE.

```
data_NaZr3Te
_symmetry_space_group_name_H-M 'P 1'
_symmetry_Int_Tables_number 1
_cell_length_a 5.3716
_cell_length_b 5.3716
_cell_length_c 5.3716
_cell_angle_alpha 90.00
_cell_angle_beta 90.00
_cell_angle_gamma 90.00
loop_
_symmetry_equiv_pos_as_xyz
'x,y,z'
loop_
_atom_site_label
_atom_site_type_symbol
_atom_site_fract_x
_atom_site_fract_y
_atom_site_fract_z
Zr1 Zr 0.0000 0.5000 0.0000
Zr2 Zr 0.0000 0.0000 0.5000
Zr3 Zr 0.5000 0.0000 0.0000
Na1 Na 0.5000 0.5000 0.5000
Te1 Te 0.0000 0.0000 0.0000
```

## Properties
The value obtained for the formation energy without anion corrections is 0.618 eV per atom. The calculation puts the total magnetic moment at 0.0 μB/f.u. The crystal system is cubic.



Which value of total magnetic moment does entry 2 give? 0.0 μB/f.u.



Which value of total magnetic moment does entry 2 give? 0.0 μB/f.u.